a:
A plane-wave DFT calculation with meta-GGA SCAN was carried out for a PBEsol-optimized structure of MnTlRh.

```
data_MnTlRh
_cell_length_a 3.056
_cell_length_b 3.648
_cell_length_c 8.676
_cell_angle_alpha 90.00
_cell_angle_beta 90.00
_cell_angle_gamma 90.00
_space_group_name_H-M_alt 'P 1'
_space_group_IT_number 1
_space_group_name_Hall 'P 1'
loop_
_atom_site_label
_atom_site_fract_x
_atom_site_fract_y
_atom_site_fract_z
Mn1 0.000 0.000 0.000
Mn2 0.500 0.500 0.500
Tl1 0.000 0.000 0.679
Tl2 0.500 0.500 0.179
Rh1 0.000 0.000 0.356
Rh2 0.500 0.500 0.856
```

---

b:
A plane-wave DFT calculation with meta-GGA SCAN was carried out for a PBEsol-optimized structure of MnTlRh.

```
data_MnTlRh
_cell_length_a 6.014
_cell_length_b 6.014
_cell_length_c 6.014
_cell_angle_alpha 90.00
_cell_angle_beta 90.00
_cell_angle_gamma 90.00
_space_group_name_H-M_alt 'P 1'
_space_group_IT_number 1
_space_group_name_Hall 'P 1'
loop_
_atom_site_label
_atom_site_fract_x
_atom_site_fract_y
_atom_site_fract_z
Mn1 0.000 0.000 0.000
Mn2 0.000 0.500 0.500
Mn3 0.500 0.000 0.500
Mn4 0.500 0.500 0.000
Tl1 0.250 0.250 0.750
Tl2 0.250 0.750 0.250
Tl3 0.750 0.250 0.250
Tl4 0.750 0.750 0.750
Rh1 0.250 0.250 0.250
Rh2 0.250 0.750 0.750
Rh3 0.750 0.250 0.750
Rh4 0.750 0.750 0.250
```

---

Which of them is most stable, and which least? Most stable: a; least stable: b.

---

a:
A plane-wave DFT calculation with meta-GGA SCAN was carried out for a PBEsol-optimized structure of MnRhW2.

```
data_MnRhW2
_cell_length_a 2.684
_cell_length_b 3.822
_cell_length_c 5.443
_cell_angle_alpha 90.00
_cell_angle_beta 90.00
_cell_angle_gamma 90.00
_space_group_name_H-M_alt 'P 1'
_space_group_IT_number 1
_space_group_name_Hall 'P 1'
loop_
_atom_site_label
_atom_site_fract_x
_atom_site_fract_y
_atom_site_fract_z
Mn1 0.000 0.000 0.000
Rh1 0.000 0.000 0.500
W1 0.500 0.500 0.244
W2 0.500 0.500 0.756
```

---

b:
A plane-wave DFT calculation with meta-GGA SCAN was carried out for a PBEsol-optimized structure of MnRhW2.

```
data_MnRhW2
_cell_length_a 3.120
_cell_length_b 3.120
_cell_length_c 5.863
_cell_angle_alpha 90.00
_cell_angle_beta 90.00
_cell_angle_gamma 90.00
_space_group_name_H-M_alt 'P 1'
_space_group_IT_number 1
_space_group_name_Hall 'P 1'
loop_
_atom_site_label
_atom_site_fract_x
_atom_site_fract_y
_atom_site_fract_z
Mn1 0.000 0.000 0.000
Rh1 0.500 0.500 0.253
W1 0.000 0.000 0.506
W2 0.500 0.500 0.776
```

---

c:
A plane-wave DFT calculation with meta-GGA SCAN was carried out for a PBEsol-optimized structure of MnRhW2.

```
data_MnRhW2
_cell_length_a 2.711
_cell_length_b 2.711
_cell_length_c 26.891
_cell_angle_alpha 90.00
_cell_angle_beta 90.00
_cell_angle_gamma 120.00
_space_group_name_H-M_alt 'P 1'
_space_group_IT_number 1
_space_group_name_Hall 'P 1'
loop_
_atom_site_label
_atom_site_fract_x
_atom_site_fract_y
_atom_site_fract_z
Mn1 0.000 0.000 0.000
Mn2 0.333 0.667 0.667
Mn3 0.667 0.333 0.333
Rh1 0.000 0.000 0.256
Rh2 0.333 0.667 0.922
Rh3 0.667 0.333 0.589
W1 0.000 0.000 0.506
W2 0.000 0.000 0.747
W3 0.333 0.667 0.173
W4 0.333 0.667 0.414
W5 0.667 0.333 0.081
W6 0.667 0.333 0.840
```

---

Which of them is most stable, and which least? Most stable: b; least stable: c.

---

a:
A plane-wave DFT calculation with meta-GGA SCAN was carried out for a PBEsol-optimized structure of MnSb2Ru.

```
data_MnSb2Ru
_cell_length_a 3.074
_cell_length_b 4.043
_cell_length_c 12.155
_cell_angle_alpha 90.00
_cell_angle_beta 90.00
_cell_angle_gamma 90.00
_space_group_name_H-M_alt 'P 1'
_space_group_IT_number 1
_space_group_name_Hall 'P 1'
loop_
_atom_site_label
_atom_site_fract_x
_atom_site_fract_y
_atom_site_fract_z
Mn1 0.000 0.000 0.000
Mn2 0.500 0.500 0.500
Sb1 0.000 0.000 0.394
Sb2 0.000 0.500 0.150
Sb3 0.500 0.000 0.650
Sb4 0.500 0.500 0.894
Ru1 0.000 0.500 0.711
Ru2 0.500 0.000 0.211
```

---

b:
A plane-wave DFT calculation with meta-GGA SCAN was carried out for a PBEsol-optimized structure of MnSb2Ru.

```
data_MnSb2Ru
_cell_length_a 3.169
_cell_length_b 3.169
_cell_length_c 6.375
_cell_angle_alpha 90.00
_cell_angle_beta 90.00
_cell_angle_gamma 90.00
_space_group_name_H-M_alt 'P 1'
_space_group_IT_number 1
_space_group_name_Hall 'P 1'
loop_
_atom_site_label
_atom_site_fract_x
_atom_site_fract_y
_atom_site_fract_z
Mn1 0.000 0.000 0.000
Sb1 0.500 0.500 0.241
Sb2 0.500 0.500 0.759
Ru1 0.000 0.000 0.500
```

---

Which of them is most stable, and which least? Most stable: a; least stable: b.

---

a:
A plane-wave DFT calculation with meta-GGA SCAN was carried out for a PBEsol-optimized structure of MnRuSe2.

```
data_MnRuSe2
_cell_length_a 3.791
_cell_length_b 3.791
_cell_length_c 16.507
_cell_angle_alpha 90.00
_cell_angle_beta 90.00
_cell_angle_gamma 120.00
_space_group_name_H-M_alt 'P 1'
_space_group_IT_number 1
_space_group_name_Hall 'P 1'
loop_
_atom_site_label
_atom_site_fract_x
_atom_site_fract_y
_atom_site_fract_z
Mn1 0.000 0.000 0.000
Mn2 0.333 0.667 0.667
Mn3 0.667 0.333 0.333
Ru1 0.000 0.000 0.500
Ru2 0.333 0.667 0.167
Ru3 0.667 0.333 0.833
Se1 0.000 0.000 0.242
Se2 0.000 0.000 0.758
Se3 0.333 0.667 0.424
Se4 0.333 0.667 0.909
Se5 0.667 0.333 0.091
Se6 0.667 0.333 0.576
```

---

b:
A plane-wave DFT calculation with meta-GGA SCAN was carried out for a PBEsol-optimized structure of MnRuSe2.

```
data_MnRuSe2
_cell_length_a 3.738
_cell_length_b 3.738
_cell_length_c 5.592
_cell_angle_alpha 90.00
_cell_angle_beta 90.00
_cell_angle_gamma 90.00
_space_group_name_H-M_alt 'P 1'
_space_group_IT_number 1
_space_group_name_Hall 'P 1'
loop_
_atom_site_label
_atom_site_fract_x
_atom_site_fract_y
_atom_site_fract_z
Mn1 0.000 0.000 0.000
Ru1 0.500 0.500 0.000
Se1 0.000 0.500 0.272
Se2 0.500 0.000 0.728
```

---

Which of them is most stable, and which least? Most stable: b; least stable: a.

---

a:
A plane-wave DFT calculation with meta-GGA SCAN was carried out for a PBEsol-optimized structure of SrMn2Ru.

```
data_SrMn2Ru
_cell_length_a 4.539
_cell_length_b 4.539
_cell_length_c 3.349
_cell_angle_alpha 90.00
_cell_angle_beta 90.00
_cell_angle_gamma 90.00
_space_group_name_H-M_alt 'P 1'
_space_group_IT_number 1
_space_group_name_Hall 'P 1'
loop_
_atom_site_label
_atom_site_fract_x
_atom_site_fract_y
_atom_site_fract_z
Sr1 0.000 0.000 0.000
Mn1 0.000 0.500 0.500
Mn2 0.500 0.000 0.500
Ru1 0.500 0.500 0.000
```

---

b:
A plane-wave DFT calculation with meta-GGA SCAN was carried out for a PBEsol-optimized structure of SrMn2Ru.

```
data_SrMn2Ru
_cell_length_a 2.975
_cell_length_b 2.975
_cell_length_c 7.671
_cell_angle_alpha 90.00
_cell_angle_beta 90.00
_cell_angle_gamma 90.00
_space_group_name_H-M_alt 'P 1'
_space_group_IT_number 1
_space_group_name_Hall 'P 1'
loop_
_atom_site_label
_atom_site_fract_x
_atom_site_fract_y
_atom_site_fract_z
Sr1 0.000 0.000 0.000
Mn1 0.000 0.000 0.526
Mn2 0.500 0.500 0.337
Ru1 0.500 0.500 0.693
```

---

c:
A plane-wave DFT calculation with meta-GGA SCAN was carried out for a PBEsol-optimized structure of SrMn2Ru.

```
data_SrMn2Ru
_cell_length_a 4.135
_cell_length_b 4.135
_cell_length_c 16.371
_cell_angle_alpha 90.00
_cell_angle_beta 90.00
_cell_angle_gamma 120.00
_space_group_name_H-M_alt 'P 1'
_space_group_IT_number 1
_space_group_name_Hall 'P 1'
loop_
_atom_site_label
_atom_site_fract_x
_atom_site_fract_y
_atom_site_fract_z
Sr1 0.000 0.000 0.000
Sr2 0.333 0.667 0.667
Sr3 0.667 0.333 0.333
Mn1 0.000 0.000 0.195
Mn2 0.000 0.000 0.805
Mn3 0.333 0.667 0.472
Mn4 0.333 0.667 0.862
Mn5 0.667 0.333 0.138
Mn6 0.667 0.333 0.528
Ru1 0.000 0.000 0.500
Ru2 0.333 0.667 0.167
Ru3 0.667 0.333 0.833
```

---

Which of them is most stable, and which least? Most stable: c; least stable: a.

---

a:
A plane-wave DFT calculation with meta-GGA SCAN was carried out for a PBEsol-optimized structure of TaMn2Ru.

```
data_TaMn2Ru
_cell_length_a 3.265
_cell_length_b 4.066
_cell_length_c 8.078
_cell_angle_alpha 90.00
_cell_angle_beta 90.00
_cell_angle_gamma 90.00
_space_group_name_H-M_alt 'P 1'
_space_group_IT_number 1
_space_group_name_Hall 'P 1'
loop_
_atom_site_label
_atom_site_fract_x
_atom_site_fract_y
_atom_site_fract_z
Ta1 0.000 0.000 0.000
Ta2 0.500 0.500 0.500
Mn1 0.000 0.500 0.248
Mn2 0.000 0.500 0.752
Mn3 0.500 0.000 0.252
Mn4 0.500 0.000 0.748
Ru1 0.000 0.000 0.500
Ru2 0.500 0.500 0.000
```

---

b:
A plane-wave DFT calculation with meta-GGA SCAN was carried out for a PBEsol-optimized structure of TaMn2Ru.

```
data_TaMn2Ru
_cell_length_a 3.070
_cell_length_b 4.142
_cell_length_c 4.226
_cell_angle_alpha 90.00
_cell_angle_beta 90.00
_cell_angle_gamma 90.00
_space_group_name_H-M_alt 'P 1'
_space_group_IT_number 1
_space_group_name_Hall 'P 1'
loop_
_atom_site_label
_atom_site_fract_x
_atom_site_fract_y
_atom_site_fract_z
Ta1 0.000 0.000 0.000
Mn1 0.000 0.500 0.500
Mn2 0.500 0.500 0.000
Ru1 0.500 0.000 0.500
```

---

Which of them is most stable, and which least? Most stable: b; least stable: a.

---

a:
A plane-wave DFT calculation with meta-GGA SCAN was carried out for a PBEsol-optimized structure of MnTl2Ru.

```
data_MnTl2Ru
_cell_length_a 4.347
_cell_length_b 4.347
_cell_length_c 3.696
_cell_angle_alpha 90.00
_cell_angle_beta 90.00
_cell_angle_gamma 90.00
_space_group_name_H-M_alt 'P 1'
_space_group_IT_number 1
_space_group_name_Hall 'P 1'
loop_
_atom_site_label
_atom_site_fract_x
_atom_site_fract_y
_atom_site_fract_z
Mn1 0.000 0.000 0.000
Tl1 0.000 0.500 0.500
Tl2 0.500 0.000 0.500
Ru1 0.500 0.500 0.000
```

---

b:
A plane-wave DFT calculation with meta-GGA SCAN was carried out for a PBEsol-optimized structure of MnTl2Ru.

```
data_MnTl2Ru
_cell_length_a 3.304
_cell_length_b 3.304
_cell_length_c 6.376
_cell_angle_alpha 90.00
_cell_angle_beta 90.00
_cell_angle_gamma 90.00
_space_group_name_H-M_alt 'P 1'
_space_group_IT_number 1
_space_group_name_Hall 'P 1'
loop_
_atom_site_label
_atom_site_fract_x
_atom_site_fract_y
_atom_site_fract_z
Mn1 0.000 0.000 0.000
Tl1 0.500 0.500 0.254
Tl2 0.500 0.500 0.746
Ru1 0.000 0.000 0.500
```

---

Which of them is most stable, and which least? Most stable: a; least stable: b.